The following is a meta-GGA SCAN calculation of a PBEsol-optimized structure of BaZrSc3, from the Alexandria database.

## Properties
As for the space group: No. 221. The value obtained for the density of states at the Fermi level is 1.598 states/eV per atom. The calculation puts the total energy at -22.0409 eV/atom. As for the volume: 30.8 A^3/atom.

Unit cell a=5.358 b=5.358 c=5.358 alpha=90.00 beta=90.00 gamma=90.00
Positions (direct):
Sc (0.000, 0.500, 0.000)
Sc (0.000, 0.000, 0.500)
Sc (0.500, 0.000, 0.000)
Ba (0.500, 0.500, 0.500)
Zr (0.000, 0.000, 0.000)